## Ac12Cd3Cu5 (PBE)

Data for crystalline Ac12Cd3Cu5 at its relaxed geometry. Values from VASP.

Cell and atoms, written as Quantum ESPRESSO input:
```
&SYSTEM
  ibrav = 0, nat = 80, ntyp = 3
/
ATOMIC_SPECIES
Ac 227.00 Ac.upf
Cd 112.41 Cd.upf
Cu 63.55 Cu.upf
CELL_PARAMETERS angstrom
-11.0023 10.0016 5.9666
-6.9258 -9.8921 -10.5291
6.4621 -8.5504 11.9087
ATOMIC_POSITIONS crystal
Ac 0.2872 0.8754 0.9614
Ac 0.5861 0.6246 0.4119
Cd 0.2500 0.6250 0.8750
Ac 0.0881 0.1742 0.2128
Cd 0.6250 0.3750 0.7500
Ac 0.3258 0.5386 0.4139
Cu 0.5000 0.5000 0.5000
Ac 0.6742 0.4614 0.5861
Ac 0.7872 0.4614 0.3754
Ac 0.0861 0.1742 0.4614
Ac 0.4119 0.1246 0.5861
Ac 0.5881 0.7128 0.6742
Ac 0.2872 0.4119 0.8258
Ac 0.7872 0.3258 0.9119
Cu 0.6250 0.7500 0.8750
Ac 0.9139 0.8258 0.5386
Cu 0.0000 0.5000 0.0000
Ac 0.7128 0.5881 0.1742
Ac 0.1246 0.4119 0.0861
Cd 0.8750 0.7500 0.1250
Ac 0.6246 0.5861 0.9119
Cu 0.2500 0.3750 0.6250
Ac 0.9614 0.5861 0.1742
Ac 0.3754 0.4139 0.0881
Ac 0.8754 0.2872 0.4614
Cu 0.7500 0.1250 0.8750
Ac 0.3258 0.7872 0.4119
Ac 0.9119 0.8258 0.7872
Ac 0.8258 0.9139 0.0386
Ac 0.0881 0.9139 0.3754
Ac 0.9119 0.0861 0.6246
Cu 0.0000 0.0000 0.5000
Ac 0.8754 0.5881 0.9139
Ac 0.8258 0.9119 0.2872
Cd 0.3750 0.6250 0.2500
Ac 0.4614 0.6742 0.0861
Ac 0.4139 0.0386 0.3258
Ac 0.5386 0.3258 0.9139
Ac 0.0386 0.4139 0.8258
Ac 0.9614 0.3754 0.2872
Cu 0.0000 0.0000 0.0000
Cu 0.5000 0.0000 0.0000
Cd 0.6250 0.2500 0.3750
Cd 0.3750 0.7500 0.6250
Ac 0.2128 0.6742 0.0881
Ac 0.4139 0.3754 0.5881
Ac 0.4119 0.2872 0.3258
Ac 0.2128 0.5386 0.6246
Cu 0.3750 0.1250 0.7500
Cu 0.0000 0.5000 0.5000
Cu 0.8750 0.6250 0.7500
Ac 0.7128 0.1246 0.0386
Cu 0.1250 0.3750 0.2500
Ac 0.5881 0.8754 0.4139
Ac 0.1742 0.0861 0.9614
Ac 0.6742 0.2128 0.5881
Cd 0.7500 0.3750 0.1250
Ac 0.0386 0.6246 0.7128
Cu 0.5000 0.5000 0.0000
Ac 0.3754 0.9614 0.7872
Cu 0.6250 0.8750 0.2500
Cu 0.3750 0.2500 0.1250
Ac 0.1246 0.7128 0.5386
Cd 0.1250 0.8750 0.7500
Cu 0.1250 0.7500 0.3750
Ac 0.0861 0.9119 0.1246
Ac 0.6246 0.0386 0.2128
Ac 0.1742 0.0881 0.7128
Cd 0.2500 0.1250 0.3750
Ac 0.5386 0.2128 0.1246
Cu 0.5000 0.0000 0.5000
Ac 0.4614 0.7872 0.8754
Cu 0.7500 0.6250 0.3750
Cd 0.1250 0.2500 0.8750
Ac 0.5861 0.9614 0.6742
Ac 0.9139 0.0881 0.8754
Cu 0.8750 0.2500 0.6250
Cd 0.8750 0.1250 0.2500
Cu 0.2500 0.8750 0.1250
Cd 0.7500 0.8750 0.6250
```

Results
- Magnetic moment: 0.000 μB per atom
- ΔE_f: 3.2 eV/f.u.
- Space group: Ia-3d (230)
- D(E_F): 1.460 states/eV per atom
- Theoretical density: 7.1 g cm⁻³

## Rb3U3SbS8 (PBE)

Data for crystalline Rb3U3SbS8 at its relaxed geometry. Values from VASP.

Cell and atoms, written as Quantum ESPRESSO input:
```
&SYSTEM
  ibrav = 0, nat = 15, ntyp = 4
/
ATOMIC_SPECIES
Rb 85.47 Rb.upf
U 238.03 U.upf
S 32.06 S.upf
Sb 121.76 Sb.upf
CELL_PARAMETERS angstrom
-2.9920 6.8898 3.1714
-5.0655 -5.6733 -2.9352
4.0750 -1.8715 7.9115
ATOMIC_POSITIONS crystal
Rb 0.0000 0.5000 0.0000
U 0.5000 0.5000 0.5000
S 0.7696 0.5392 0.3124
S 0.7271 0.9574 0.6876
S 0.2304 0.4608 0.6876
Rb 0.5000 0.5000 0.0000
U 0.5000 0.0000 0.5000
Sb 0.0000 0.0000 0.5000
Rb 0.0000 0.0000 0.0000
S 0.7697 0.0426 0.3124
S 0.7301 0.4602 0.6902
S 0.2729 0.0426 0.3124
U 0.0000 0.5000 0.5000
S 0.2303 0.9574 0.6876
S 0.2699 0.5398 0.3098
```

Results
- Magnetic moment: 0.533 μB per atom
- Space group: R-3m (166)
- D(E_F): 0.877 states/eV per atom
- Theoretical density: 5.0 g cm⁻³
- Total DFT energy (no corrections): -6.13 eV/atom

## Ba2AcOsO8 (PBE)

Data for crystalline Ba2AcOsO8 at its relaxed geometry. Values from VASP.

Cell and atoms, written as Quantum ESPRESSO input:
```
&SYSTEM
  ibrav = 0, nat = 12, ntyp = 4
/
ATOMIC_SPECIES
Ba 137.33 Ba.upf
O 16.00 O.upf
Ac 227.00 Ac.upf
Os 190.23 Os.upf
CELL_PARAMETERS angstrom
4.5656 -0.1739 -0.0024
-0.1173 6.0387 -0.0069
0.0043 0.0087 7.5371
ATOMIC_POSITIONS crystal
Ba 0.5000 0.5000 0.7560
O 0.0491 0.7881 0.1807
O 0.0491 0.7881 0.8193
O 0.5475 0.7603 0.5000
Ba 0.5000 0.5000 0.2440
O 0.5853 0.9052 0.0000
O 0.9509 0.2119 0.1807
O 0.4147 0.0948 0.0000
Ac 0.0000 0.0000 0.5000
O 0.4525 0.2397 0.5000
O 0.9509 0.2119 0.8193
Os 0.0000 0.0000 0.0000
```

Results
- Magnetic moment: 0.092 μB per atom
- Space group: P2/m (10)
- D(E_F): 0.291 states/eV per atom
- Theoretical density: 6.6 g cm⁻³
- Total DFT energy (no corrections): -6.84 eV/atom